No. 1
A plane-wave DFT calculation with PBE was carried out for a relaxed structure of Ba12Ga3O4.

a b c (Å): 9.546 9.546 9.546
angles (deg): 109.47 109.47 109.47
Element x y z (fractional)
Ga1 0.000 0.500 0.500
O1 0.500 0.000 0.000
O2 0.500 0.500 0.500
Ba1 0.940 0.224 0.716
Ga2 0.500 0.000 0.500
Ba2 0.284 0.060 0.776
Ba3 0.716 0.493 0.776
Ba4 0.284 0.507 0.224
Ba5 0.507 0.224 0.284
Ba6 0.224 0.716 0.940
Ba7 0.060 0.776 0.284
Ba8 0.224 0.284 0.507
Ba9 0.776 0.716 0.493
O3 0.000 0.500 0.000
Ba10 0.493 0.776 0.716
O4 0.000 0.000 0.500
Ga3 0.500 0.500 0.000
Ba11 0.716 0.940 0.224
Ba12 0.776 0.284 0.060

For the electronic total energy, the calculation gives -73.46 eV per cell. Its space group is No. 204. For the uncorrected formation energy, the calculation gives -1.13 eV/atom.



No. 2
A plane-wave DFT calculation with PBE was carried out for a relaxed structure of CaDyHgPb.

a b c (Å): 5.402 5.402 5.402
angles (deg): 60.00 60.00 60.00
Element x y z (fractional)
Pb1 0.750 0.750 0.750
Ca1 0.000 0.000 0.000
Dy1 0.500 0.500 0.500
Hg1 0.250 0.250 0.250

The distance to the lowest polymorph of the same formula comes out at 9 meV/atom. For the electronic total energy, the calculation gives -12.58 eV per cell. Its space group is No. 216. For the formation energy, the calculation gives -0.49 eV/atom.